(1)
This record from Alexandria describes a relaxed Pa6S12F crystal. The functional is PBE-GGA.

Geometry as POSCAR:
```
Pa6S12F
1.0
-6.956 -3.981 0.845
5.634 -5.464 1.832
0.114 5.113 6.229
S Pa F
12 6 1
Direct
0.500 0.871 0.129 S
0.500 0.129 0.871 S
0.186 0.450 0.450 S
0.129 0.500 0.871 S
0.871 0.129 0.500 S
0.450 0.450 0.186 S
0.871 0.500 0.129 S
0.814 0.550 0.550 S
0.129 0.871 0.500 S
0.550 0.814 0.550 S
0.550 0.550 0.814 S
0.450 0.186 0.450 S
0.662 0.250 0.250 Pa
0.338 0.750 0.750 Pa
0.250 0.250 0.662 Pa
0.750 0.338 0.750 Pa
0.750 0.750 0.338 Pa
0.250 0.662 0.250 Pa
0.000 0.000 0.000 F
```

Calculated values
theoretical density = 6.38 g cm⁻³
crystal system = trigonal
magnetic moment = 4.97 μB/cell
uncorrected formation energy = -1.538 eV/atom

(2)
This record from Alexandria describes a relaxed PaSF crystal. The functional is PBE-GGA.

Geometry as POSCAR:
```
PaSF
1.0
4.046 -0.001 0.000
-2.023 3.505 0.000
0.000 0.000 7.491
F S Pa
2 2 2
Direct
0.333 0.167 0.250 F
0.667 0.833 0.750 F
0.000 0.500 0.000 S
0.000 0.500 0.500 S
0.667 0.833 0.250 Pa
0.333 0.167 0.750 Pa
```

Calculated values
theoretical density = 8.82 g cm⁻³
crystal system = hexagonal
polymorph energy (0 for the lowest one) = 65 meV/atom
magnetic moment = 2.21 μB/cell
uncorrected formation energy = -2.295 eV/atom

(3)
This record from Alexandria describes a relaxed Pa2S2F crystal. The functional is PBE-GGA.

Geometry as POSCAR:
```
Pa2S2F
1.0
6.450 1.796 -0.140
0.417 6.683 -0.140
-3.070 -3.790 5.160
S Pa F
4 4 2
Direct
0.147 0.397 0.300 S
0.853 0.603 0.700 S
0.397 0.147 0.800 S
0.603 0.853 0.200 S
0.173 0.827 0.750 Pa
0.827 0.173 0.250 Pa
0.589 0.411 0.750 Pa
0.411 0.589 0.250 Pa
0.118 0.882 0.250 F
0.882 0.118 0.750 F
```

Calculated values
theoretical density = 8.49 g cm⁻³
crystal system = monoclinic
magnetic moment = 5.05 μB/cell
uncorrected formation energy = -1.693 eV/atom